Entry 1:
A relaxed LiTbMgBe crystal. Source: Alexandria, functional PBE-GGA.

Unit cell a=4.7487 b=4.7487 c=4.7487 alpha=60.00 beta=60.00 gamma=60.00
Positions (direct):
Li (0.0000, 0.0000, 0.0000)
Tb (0.7500, 0.7500, 0.7500)
Be (0.5000, 0.5000, 0.5000)
Mg (0.2500, 0.2500, 0.2500)

Output
Magnetization (μB per cell): 0.00
Symmetry: No. 216
DFT formation energy (eV/atom): 0.048
Theoretical density (g/cm3): 4.37


Entry 2:
A relaxed Sm4Pa2Rh5 crystal. Source: Alexandria, functional PBE-GGA.

Unit cell a=6.3555 b=8.6269 c=10.7236 alpha=113.72 beta=107.24 gamma=90.00
Positions (direct):
Sm (0.8645, 0.7487, 0.7291)
Rh (0.4136, 0.3350, 0.8271)
Pa (0.4497, 0.6997, 0.3994)
Rh (0.7817, 0.9724, 0.5634)
Rh (0.2817, 0.5909, 0.5634)
Rh (0.9136, 0.4921, 0.8271)
Sm (0.9458, 0.2064, 0.8916)
Pa (0.5503, 0.3003, 0.6006)
Pa (0.0503, 0.3003, 0.6006)
Rh (0.2183, 0.0276, 0.4366)
Rh (0.0864, 0.5079, 0.1729)
Rh (0.5864, 0.6650, 0.1729)
Sm (0.3645, 0.9804, 0.7291)
Sm (0.5542, 0.3148, 0.1084)
Sm (0.1355, 0.2513, 0.2709)
Rh (0.7183, 0.4091, 0.4366)
Rh (0.2500, 0.0000, 0.0000)
Pa (0.9497, 0.6997, 0.3994)
Sm (0.0542, 0.7936, 0.1084)
Sm (0.6355, 0.0196, 0.2709)
Rh (0.7500, 0.0000, 0.0000)
Sm (0.4458, 0.6852, 0.8916)

Output
Magnetization (μB per cell): 0.00
Symmetry: No. 72
DFT formation energy (eV/atom): -0.649
Theoretical density (g/cm3): 10.29


Entry 3:
A relaxed Pa2Ga8Si crystal. Source: Alexandria, functional PBE-GGA.

Unit cell a=4.4577 b=4.4577 c=10.7988 alpha=90.00 beta=90.00 gamma=90.00
Positions (direct):
Ga (0.5000, 0.0000, 0.1246)
Pa (0.0000, 0.0000, 0.6927)
Ga (0.5000, 0.5000, 0.3120)
Pa (0.0000, 0.0000, 0.3073)
Ga (0.5000, 0.5000, 0.6880)
Si (0.0000, 0.0000, 0.0000)
Ga (0.5000, 0.0000, 0.8754)
Ga (0.5000, 0.0000, 0.5000)
Ga (0.0000, 0.5000, 0.8754)
Ga (0.0000, 0.5000, 0.1246)
Ga (0.0000, 0.5000, 0.5000)

Output
Magnetization (μB per cell): 0.00
Symmetry: No. 123
Total DFT energy (no corrections) (eV/f.u.): -50.9
Theoretical density (g/cm3): 8.11


Entry 4:
A relaxed Ta3CoB crystal. Source: Alexandria, functional PBE-GGA.

Unit cell a=4.2847 b=4.2847 c=4.2847 alpha=90.00 beta=90.00 gamma=90.00
Last column: magnetic moment on the atom in μB.
Positions (direct):
Ta (0.0000, 0.0000, 0.5000)  -0.01
Ta (0.0000, 0.5000, 0.0000)  -0.01
Ta (0.5000, 0.0000, 0.0000)  -0.04
Co (0.5000, 0.5000, 0.5000)  0.48
B (0.0000, 0.0000, 0.0000)  0.00

Output
Magnetization (μB per cell): 0.39
Energy above the most stable polymorph in this dataset (eV per atom): 0.000
Symmetry: No. 221
DFT formation energy (eV/atom): 0.183
Theoretical density (g/cm3): 12.93


Entry 5:
A relaxed LaRhSe2 crystal. Source: Alexandria, functional PBE-GGA.

Unit cell a=6.5686 b=6.5686 c=6.5686 alpha=36.75 beta=36.75 gamma=36.75
Positions (direct):
Se (0.0606, 0.0606, 0.0606)
Se (0.2650, 0.2650, 0.2650)
La (0.4947, 0.4947, 0.4947)
Rh (0.6797, 0.6797, 0.6797)

Output
Magnetization (μB per cell): 0.00
Energy above the most stable polymorph in this dataset (eV per atom): 0.146
Symmetry: No. 160
Theoretical density (g/cm3): 7.30


Entry 6:
A relaxed Mg2AlAu crystal. Source: Alexandria, functional PBE-GGA.

Unit cell a=4.1393 b=4.1943 c=4.1943 alpha=90.00 beta=90.00 gamma=90.00
Positions (direct):
Au (0.5000, 0.0000, 0.0000)
Al (0.5000, 0.5000, 0.5000)
Mg (0.0000, 0.5000, 0.0000)
Mg (0.0000, 0.0000, 0.5000)

Output
Magnetization (μB per cell): 0.00
Symmetry: No. 123
DFT formation energy (eV/atom): -0.303
Theoretical density (g/cm3): 6.22


Entry 7:
A relaxed ZnIBr2 crystal. Source: Alexandria, functional PBE-GGA.

Unit cell a=6.6397 b=6.8417 c=9.2171 alpha=107.12 beta=91.42 gamma=115.02
Positions (direct):
I (0.1514, 0.6425, 0.4917)
Zn (0.7206, 0.1442, 0.1066)
I (0.4093, 0.1219, 0.6465)
Br (0.8988, 0.1597, 0.3411)
Br (0.9302, 0.1128, 0.8900)
Br (0.3344, 0.8265, 0.9992)
Br (0.6178, 0.4571, 0.1168)
Zn (0.3002, 0.1299, 0.9260)

Output
Magnetization (μB per cell): 0.00
Energy above the most stable polymorph in this dataset (eV per atom): 0.013
Symmetry: No. 1
Theoretical density (g/cm3): 3.27


Entry 8:
A relaxed ICl2F crystal. Source: Alexandria, functional PBE-GGA.

Unit cell a=8.2242 b=8.2242 c=8.2242 alpha=28.99 beta=28.99 gamma=28.99
Last column: magnetic moment on the atom in μB.
Positions (direct):
Cl (0.8965, 0.8965, 0.8965)  0.34
I (0.0000, 0.0000, 0.0000)  0.29
F (0.5000, 0.5000, 0.5000)  0.56
Cl (0.1035, 0.1035, 0.1035)  0.34

Output
Magnetization (μB per cell): 1.87
Energy above the most stable polymorph in this dataset (eV per atom): 0.357
Symmetry: No. 166
Theoretical density (g/cm3): 3.12


Entry 9:
A relaxed GaCo2Pb crystal. Source: Alexandria, functional PBE-GGA.

Unit cell a=4.2024 b=4.2024 c=8.9965 alpha=76.49 beta=76.49 gamma=90.00
Last column: magnetic moment on the atom in μB.
Positions (direct):
Pb (0.7500, 0.2500, 0.5000)  -0.02
Co (0.2547, 0.6250, 0.2500)  1.39
Ga (0.5000, 0.5000, 0.0000)  -0.02
Co (0.3750, 0.5047, 0.7500)  1.63
Ga (0.2500, 0.7500, 0.5000)  -0.02
Co (0.8750, 0.7453, 0.7500)  1.59
Pb (0.0000, 0.0000, 0.0000)  -0.02
Co (0.4953, 0.1250, 0.2500)  1.39

Output
Magnetization (μB per cell): 5.86
Symmetry: No. 122
DFT formation energy (eV/atom): 0.465
Theoretical density (g/cm3): 8.74


Entry 10:
A relaxed Tb6InSe3 crystal. Source: Alexandria, functional PBE-GGA.

Unit cell a=3.9545 b=11.9664 c=12.1494 alpha=107.43 beta=90.00 gamma=90.00
Last column: magnetic moment on the atom in μB.
Positions (direct):
In (0.7500, 0.0502, 0.6947)  0.00
Tb (0.7500, 0.7983, 0.7475)  0.14
Se (0.2500, 0.3334, 0.5088)  0.00
Tb (0.7500, 0.3809, 0.0689)  0.03
Se (0.7500, 0.1481, 0.0784)  0.00
In (0.2500, 0.9498, 0.3053)  0.00
Tb (0.7500, 0.7240, 0.2628)  0.06
Tb (0.7500, 0.1354, 0.4729)  0.14
Tb (0.2500, 0.0803, 0.9066)  0.02
Se (0.2500, 0.5603, 0.1466)  0.00
Se (0.2500, 0.8519, 0.9216)  0.00
Tb (0.2500, 0.2017, 0.2525)  0.14
Tb (0.7500, 0.9197, 0.0934)  0.02
Tb (0.7500, 0.5000, 0.6416)  -0.02
Tb (0.2500, 0.2760, 0.7372)  0.06
Tb (0.2500, 0.5000, 0.3584)  -0.02
Se (0.7500, 0.4397, 0.8534)  0.00
Tb (0.2500, 0.8646, 0.5271)  0.14
Tb (0.2500, 0.6191, 0.9311)  0.03
Se (0.7500, 0.6666, 0.4912)  0.00

Output
Magnetization (μB per cell): 1.23
Symmetry: No. 11
Total DFT energy (no corrections) (eV/f.u.): -51.9
Theoretical density (g/cm3): 7.90


Entry 11:
A relaxed NaCoRu crystal. Source: Alexandria, functional PBE-GGA.

Unit cell a=10.8279 b=4.6938 c=4.3251 alpha=90.00 beta=90.00 gamma=90.00
Last column: magnetic moment on the atom in μB.
Positions (direct):
Na (0.2653, 0.7500, 0.0025)  -0.01
Co (0.0000, 0.0000, 0.0000)  1.68
Ru (0.0408, 0.7500, 0.5001)  0.51
Na (0.7347, 0.2500, 0.9975)  -0.01
Co (0.0000, 0.5000, 0.0000)  1.66
Ru (0.4592, 0.2500, 0.0001)  0.51
Co (0.5000, 0.5000, 0.5000)  1.66
Ru (0.9592, 0.2500, 0.4999)  0.51
Ru (0.5408, 0.7500, 0.9999)  0.51
Na (0.7653, 0.7500, 0.4975)  -0.01
Co (0.5000, 0.0000, 0.5000)  1.68
Na (0.2347, 0.2500, 0.5025)  -0.01

Output
Magnetization (μB per cell): 8.48
Energy above the most stable polymorph in this dataset (eV per atom): 0.148
Symmetry: No. 62
DFT formation energy (eV/atom): 0.544
Theoretical density (g/cm3): 5.53


Entry 12:
A relaxed Ac4SmEr3Se8 crystal. Source: Alexandria, functional PBE-GGA.

Unit cell a=8.2981 b=8.8014 c=8.2974 alpha=118.12 beta=120.00 gamma=90.00
Positions (direct):
Ac (0.0000, 0.0000, 0.0000)
Se (0.2430, 0.7190, 0.4860)
Se (0.7573, 0.2813, 0.0241)
Er (0.5000, 0.5000, 0.5000)
Se (0.7333, 0.7187, 0.9759)
Se (0.2427, 0.7187, 0.9759)
Sm (0.0000, 0.5000, 0.0000)
Se (0.7382, 0.7148, 0.4765)
Se (0.2667, 0.2813, 0.0241)
Ac (0.5000, 0.0000, 0.5000)
Er (0.0000, 0.5000, 0.5000)
Er (0.5000, 0.5000, 0.0000)
Se (0.7570, 0.2810, 0.5140)
Ac (0.5000, 0.0000, 0.0000)
Ac (0.0000, 0.0000, 0.5000)
Se (0.2618, 0.2852, 0.5235)

Output
Magnetization (μB per cell): 0.00
Symmetry: No. 166
Total DFT energy (no corrections) (eV/f.u.): -91.3
Theoretical density (g/cm3): 8.27


> What is the formula in the second record?

Sm4Pa2Rh5


> Which of these has the highest magnetization?

NaCoRu


> What is the formula in the seventh record?

ZnIBr2